Here is SbSe2 after structural relaxation from Alexandria. Energies are from PBE.

Unit cell a=4.578 b=4.578 c=3.859 alpha=90.00 beta=90.00 gamma=90.00
Space group P4/mmm (No. 123)
One atom of each set of equivalent atoms:
1 Sb 0.000 0.000 0.000 (multiplicity 1)
2 Se 0.000 0.500 0.500 (multiplicity 2)

Calculated values
Electronic total energy: -3.543 eV per atom
Energy relative to the elements, uncorrected: 0.154 eV per atom
Total moment: 0.00 μB/cell
Density of states at the Fermi level: 0.5238 states/eV per atom

Here is Sb2Se after structural relaxation from Alexandria. Energies are from PBE.

Unit cell a=3.608 b=3.608 c=24.379 alpha=90.00 beta=90.00 gamma=90.00
Space group I4_1/amd (No. 141, origin choice 2)
One atom of each set of equivalent atoms:
1 Sb 0.000 0.250 0.301 (multiplicity 8)
2 Se 0.000 0.250 0.875 (multiplicity 4)

Calculated values
Electronic total energy: -3.680 eV per atom
Energy relative to the elements, uncorrected: 0.230 eV per atom
Total moment: 0.00 μB/cell
Density of states at the Fermi level: 0.6378 states/eV per atom